[1]
# Dy2Ho3ScBi6 PBE-GGA optimized geometry
# energy of formation from the pure elements	-808.5	meV/atom
data_Dy2Ho3ScBi6
_symmetry_space_group_name_H-M 'C 1 2/m 1'
_symmetry_Int_Tables_number 12
_cell_length_a 19.328
_cell_length_b 4.436
_cell_length_c 8.875
_cell_angle_alpha 90.00
_cell_angle_beta 103.22
_cell_angle_gamma 90.00
loop_
_symmetry_equiv_pos_as_xyz
'x,y,z'
'-x,-y,-z'
'-x,y,-z'
'x,-y,z'
'x+1/2,y+1/2,z'
'-x+1/2,-y+1/2,-z'
'-x+1/2,y+1/2,-z'
'x+1/2,-y+1/2,z'
loop_
_atom_site_label
_atom_site_type_symbol
_atom_site_fract_x
_atom_site_fract_y
_atom_site_fract_z
_atom_site_occupancy
Dy1 Dy 0.166 0.000 0.333 1
Ho1 Ho 0.000 0.500 0.500 1
Ho2 Ho 0.169 0.000 0.834 1
Sc1 Sc 0.000 0.500 0.000 1
Bi1 Bi 0.001 0.000 0.760 1
Bi2 Bi 0.163 0.500 0.080 1
Bi3 Bi 0.167 0.500 0.584 1


[2]
# Zr3CrH PBE-GGA optimized geometry
# offset from the most stable computed form	0	meV/atom
data_Zr3CrH
_symmetry_space_group_name_H-M 'P m -3 m'
_symmetry_Int_Tables_number 221
_symmetry_space_group_name_Hall '-P 4 2 3'
_cell_length_a 4.433
_cell_length_b 4.433
_cell_length_c 4.433
_cell_angle_alpha 90.00
_cell_angle_beta 90.00
_cell_angle_gamma 90.00
loop_
_atom_site_label
_atom_site_type_symbol
_atom_site_fract_x
_atom_site_fract_y
_atom_site_fract_z
_atom_site_occupancy
Zr1 Zr 0.000 0.000 0.500 1
Cr1 Cr 0.500 0.500 0.500 1
H1 H 0.000 0.000 0.000 1


[3]
# LaZnAs PBE-GGA optimized geometry
# energy of formation from the pure elements	-894.3	meV/atom
data_LaZnAs
_symmetry_space_group_name_H-M 'P 1 21/m 1'
_symmetry_Int_Tables_number 11
_cell_length_a 4.174
_cell_length_b 4.437
_cell_length_c 8.775
_cell_angle_alpha 90.00
_cell_angle_beta 103.60
_cell_angle_gamma 90.00
loop_
_symmetry_equiv_pos_as_xyz
'x,y,z'
'-x,-y,-z'
'-x,y+1/2,-z'
'x,-y+1/2,z'
loop_
_atom_site_label
_atom_site_type_symbol
_atom_site_fract_x
_atom_site_fract_y
_atom_site_fract_z
_atom_site_occupancy
La1 La 0.151 0.250 0.300 1
Zn1 Zn 0.466 0.250 0.936 1
As1 As 0.324 0.250 0.650 1


[4]
# Mn2AgSb PBE-GGA optimized geometry
# formation energy without anion corrections	1.71	eV/f.u.
data_Mn2AgSb
_symmetry_space_group_name_H-M 'F -4 3 m'
_symmetry_Int_Tables_number 216
_symmetry_space_group_name_Hall 'F -4 2 3'
_cell_length_a 6.517
_cell_length_b 6.517
_cell_length_c 6.517
_cell_angle_alpha 90.00
_cell_angle_beta 90.00
_cell_angle_gamma 90.00
loop_
_atom_site_label
_atom_site_type_symbol
_atom_site_fract_x
_atom_site_fract_y
_atom_site_fract_z
_atom_site_occupancy
Mn1 Mn 0.000 0.000 0.000 1
Mn2 Mn 0.250 0.250 0.250 1
Ag1 Ag 0.000 0.000 0.500 1
Sb1 Sb 0.250 0.250 0.750 1


[5]
# Tb7YCd2 PBE-GGA optimized geometry
# energy of formation from the pure elements	406.8	meV/atom
data_Tb7YCd2
_symmetry_space_group_name_H-M 'C m m m'
_symmetry_Int_Tables_number 65
_symmetry_space_group_name_Hall '-C 2 2'
_cell_length_a 8.943
_cell_length_b 15.818
_cell_length_c 5.273
_cell_angle_alpha 90.00
_cell_angle_beta 90.00
_cell_angle_gamma 90.00
loop_
_atom_site_label
_atom_site_type_symbol
_atom_site_fract_x
_atom_site_fract_y
_atom_site_fract_z
_atom_site_occupancy
Tb1 Tb 0.000 0.000 0.000 1
Tb2 Tb 0.000 0.276 0.500 1
Tb3 Tb 0.182 0.383 0.000 1
Y1 Y 0.000 0.500 0.500 1
Cd1 Cd 0.000 0.196 0.000 1


[6]
# TbDyZnCr PBE-GGA optimized geometry
# energy of formation from the pure elements	10.6	meV/atom
data_TbDyZnCr
_symmetry_space_group_name_H-M 'F -4 3 m'
_symmetry_Int_Tables_number 216
_symmetry_space_group_name_Hall 'F -4 2 3'
_cell_length_a 7.146
_cell_length_b 7.146
_cell_length_c 7.146
_cell_angle_alpha 90.00
_cell_angle_beta 90.00
_cell_angle_gamma 90.00
loop_
_atom_site_label
_atom_site_type_symbol
_atom_site_fract_x
_atom_site_fract_y
_atom_site_fract_z
_atom_site_occupancy
Tb1 Tb 0.000 0.000 0.000 1
Dy1 Dy 0.000 0.000 0.500 1
Zn1 Zn 0.250 0.250 0.750 1
Cr1 Cr 0.250 0.250 0.250 1


[7]
# Nd4CdIn2 PBE-GGA optimized geometry
# energy of formation from the pure elements	-299.8	meV/atom
# offset from the most stable computed form	0	meV/atom
data_Nd4CdIn2
_symmetry_space_group_name_H-M 'R -3 m'
_symmetry_Int_Tables_number 166
_symmetry_space_group_name_Hall '-R 3 2"'
_cell_length_a 5.4214
_cell_length_b 5.4214
_cell_length_c 26.0617
_cell_angle_alpha 90.00
_cell_angle_beta 90.00
_cell_angle_gamma 120.00
loop_
_atom_site_label
_atom_site_type_symbol
_atom_site_fract_x
_atom_site_fract_y
_atom_site_fract_z
_atom_site_occupancy
Nd1 Nd 0.0000 0.0000 0.1182 1
Nd2 Nd 0.0000 0.0000 0.3706 1
Cd1 Cd 0.0000 0.0000 0.5000 1
In1 In 0.0000 0.0000 0.2462 1


[8]
# TaNiHgS3 PBE-GGA optimized geometry
# formation energy without anion corrections	-3.89	eV/f.u.
data_TaNiHgS3
_symmetry_space_group_name_H-M 'P 1 21/m 1'
_symmetry_Int_Tables_number 11
_cell_length_a 8.941
_cell_length_b 3.426
_cell_length_c 9.531
_cell_angle_alpha 90.00
_cell_angle_beta 106.93
_cell_angle_gamma 90.00
loop_
_symmetry_equiv_pos_as_xyz
'x,y,z'
'-x,-y,-z'
'-x,y+1/2,-z'
'x,-y+1/2,z'
loop_
_atom_site_label
_atom_site_type_symbol
_atom_site_fract_x
_atom_site_fract_y
_atom_site_fract_z
_atom_site_occupancy
Ta1 Ta 0.028 0.250 0.185 1
Ni1 Ni 0.026 0.750 0.408 1
Hg1 Hg 0.484 0.250 0.843 1
S1 S 0.142 0.750 0.656 1
S2 S 0.150 0.250 0.972 1
S3 S 0.219 0.750 0.300 1


Copy entry 5 word for word.
# Tb7YCd2 PBE-GGA optimized geometry
# energy of formation from the pure elements	406.8	meV/atom
data_Tb7YCd2
_symmetry_space_group_name_H-M 'C m m m'
_symmetry_Int_Tables_number 65
_symmetry_space_group_name_Hall '-C 2 2'
_cell_length_a 8.943
_cell_length_b 15.818
_cell_length_c 5.273
_cell_angle_alpha 90.00
_cell_angle_beta 90.00
_cell_angle_gamma 90.00
loop_
_atom_site_label
_atom_site_type_symbol
_atom_site_fract_x
_atom_site_fract_y
_atom_site_fract_z
_atom_site_occupancy
Tb1 Tb 0.000 0.000 0.000 1
Tb2 Tb 0.000 0.276 0.500 1
Tb3 Tb 0.182 0.383 0.000 1
Y1 Y 0.000 0.500 0.500 1
Cd1 Cd 0.000 0.196 0.000 1